(1)
This record from the Alexandria database describes crystalline BaSbTe2As at its relaxed geometry. The functional is PBE.

Output
Size of the total moment ... 0.00 μB/f.u.
Energy ... -3.7579 eV per atom
Space-group type ... P4/mmm, No. 123
Density of states at the Fermi level ... 1.076 states/eV/atom

abc: 5.7367 5.7367 5.2937
angles: 90.00 90.00 90.00
Last column: nearest neighbours and their distance in Å.
Sites, in units of the cell vectors:
1 Sb 0.0000 0.0000 0.5000  2 As 2.65
2 As 0.0000 0.0000 0.0000  2 Sb 2.65, 4 Te 2.87
3 Te 0.0000 0.5000 0.0000  2 As 2.87
4 Te 0.5000 0.0000 0.0000  2 As 2.87
5 Ba 0.5000 0.5000 0.5000  8 Te 3.90, 4 Sb 4.06

---

(2)
This record from the Alexandria database describes crystalline Zr2Ga6Pt at its relaxed geometry. The functional is PBE.

Output
Size of the total moment ... 0.00 μB/f.u.
Space-group type ... Cmmm, No. 65
Energy of formation from the pure elements ... -0.349 eV/atom
Density of states at the Fermi level ... 0.484 states/eV/atom

abc: 3.0889 6.8779 8.6123
angles: 113.51 90.01 90.00
Last column: nearest neighbours and their distance in Å.
Sites, in units of the cell vectors:
1 Zr 0.5000 0.7102 0.4203  8 Ga 2.84-3.03, 2 Zr 3.09
2 Zr 0.5000 0.2898 0.5797  8 Ga 2.84-3.03, 2 Zr 3.09
3 Ga 0.9999 0.3318 0.2920  1 Ga 2.56, 1 Pt 2.64, 2 Zr 2.84
4 Ga 0.0001 0.0402 0.7081  1 Ga 2.56, 1 Pt 2.64, 2 Zr 2.84
5 Ga 0.0001 0.6682 0.7080  1 Ga 2.56, 1 Pt 2.64, 2 Zr 2.84
6 Ga 0.5000 0.3100 0.9998  5 Ga 2.61-2.91, 2 Pt 2.63
7 Ga 0.9999 0.9598 0.2919  1 Ga 2.56, 1 Pt 2.64, 2 Zr 2.84
8 Ga 0.5000 0.6900 0.0002  5 Ga 2.61-2.91, 2 Pt 2.63
9 Pt 0.0000 0.0000 0.0000  8 Ga 2.63-2.64

---

(3)
This record from the Alexandria database describes crystalline MoAu2 at its relaxed geometry. The functional is PBE.

Output
Size of the total moment ... 0.00 μB/f.u.
Space-group type ... Pnma, No. 62
Energy of formation from the pure elements ... 0.197 eV/atom
Density of states at the Fermi level ... 0.555 states/eV/atom

abc: 6.0967 3.8331 8.9337
angles: 90.00 90.00 90.00
Last column: nearest neighbours and their distance in Å.
Sites, in units of the cell vectors:
1 Mo 0.0949 0.2500 0.9360  2 Mo 2.51
2 Mo 0.4051 0.7500 0.4360  2 Mo 2.51
3 Mo 0.5949 0.2500 0.5640  2 Mo 2.51
4 Mo 0.9051 0.7500 0.0640  2 Mo 2.51
5 Au 0.1337 0.2500 0.2531  5 Mo 2.84-3.01, 7 Au 2.85-3.05
6 Au 0.1204 0.2500 0.5862  7 Au 2.85-2.98, 4 Mo 2.90-3.13
7 Au 0.3796 0.7500 0.0862  7 Au 2.85-2.98, 4 Mo 2.90-3.13
8 Au 0.3663 0.7500 0.7531  5 Mo 2.84-3.01, 7 Au 2.85-3.05
9 Au 0.6337 0.2500 0.2469  5 Mo 2.84-3.01, 7 Au 2.85-3.05
10 Au 0.6204 0.2500 0.9138  7 Au 2.85-2.98, 4 Mo 2.90-3.13
11 Au 0.8796 0.7500 0.4138  7 Au 2.85-2.98, 4 Mo 2.90-3.13
12 Au 0.8663 0.7500 0.7469  5 Mo 2.84-3.01, 7 Au 2.85-3.05

---

(4)
This record from the Alexandria database describes crystalline NbCd2Ge2 at its relaxed geometry. The functional is PBE.

Output
Size of the total moment ... 0.00 μB/f.u.
Space-group type ... P4/mbm, No. 127
Energy of formation from the pure elements ... 0.195 eV/atom
Density of states at the Fermi level ... 0.522 states/eV/atom

abc: 7.0338 7.0338 3.9928
angles: 90.00 90.00 90.00
Last column: nearest neighbours and their distance in Å.
Sites, in units of the cell vectors:
1 Nb 0.0000 0.0000 0.0000  4 Ge 2.71
2 Nb 0.5000 0.5000 0.0000  4 Ge 2.71
3 Ge 0.3579 0.8579 0.0000  2 Nb 2.71, 6 Cd 2.77-2.95, 1 Ge 2.83
4 Ge 0.8579 0.6421 0.0000  2 Nb 2.71, 6 Cd 2.77-2.95, 1 Ge 2.83
5 Ge 0.6421 0.1421 0.0000  2 Nb 2.71, 6 Cd 2.77-2.95, 1 Ge 2.83
6 Ge 0.1421 0.3579 0.0000  2 Nb 2.71, 6 Cd 2.77-2.95, 1 Ge 2.83
7 Cd 0.1650 0.6650 0.5000  6 Ge 2.77-2.95
8 Cd 0.6650 0.8350 0.5000  6 Ge 2.77-2.95
9 Cd 0.8350 0.3350 0.5000  6 Ge 2.77-2.95
10 Cd 0.3350 0.1650 0.5000  6 Ge 2.77-2.95

---

(5)
This record from the Alexandria database describes crystalline SmCu3Ge3 at its relaxed geometry. The functional is PBE.

Output
Size of the total moment ... 0.00 μB/f.u.
Space-group type ... Pm-3n, No. 223
Energy of formation from the pure elements ... 0.072 eV/atom
Density of states at the Fermi level ... 0.520 states/eV/atom

abc: 6.5893 6.5893 6.5893
angles: 90.00 90.00 90.00
Last column: nearest neighbours and their distance in Å.
Sites, in units of the cell vectors:
1 Ge 0.0000 0.2500 0.5000  4 Cu 2.33
2 Ge 0.0000 0.7500 0.5000  4 Cu 2.33
3 Ge 0.5000 0.0000 0.7500  4 Cu 2.33
4 Ge 0.7500 0.5000 0.0000  4 Cu 2.33
5 Ge 0.5000 0.0000 0.2500  4 Cu 2.33
6 Ge 0.2500 0.5000 0.0000  4 Cu 2.33
7 Cu 0.2500 0.0000 0.5000  4 Ge 2.33
8 Cu 0.0000 0.5000 0.2500  4 Ge 2.33
9 Cu 0.5000 0.7500 0.0000  4 Ge 2.33
10 Cu 0.7500 0.0000 0.5000  4 Ge 2.33
11 Cu 0.0000 0.5000 0.7500  4 Ge 2.33
12 Cu 0.5000 0.2500 0.0000  4 Ge 2.33
13 Sm 0.5000 0.5000 0.5000  12 Ge 3.68, 12 Cu 3.68
14 Sm 0.0000 0.0000 0.0000  12 Ge 3.68, 12 Cu 3.68

---

(6)
This record from the Alexandria database describes crystalline YMgNi2 at its relaxed geometry. The functional is PBE.

Output
Size of the total moment ... 0.00 μB/f.u.
Space-group type ... Imm2, No. 44
Energy of formation from the pure elements ... -0.149 eV/atom
Density of states at the Fermi level ... 0.488 states/eV/atom

abc: 5.3810 5.3810 5.3810
angles: 141.92 133.74 61.41
Last column: nearest neighbours and their distance in Å.
Sites, in units of the cell vectors:
1 Mg 0.2363 0.7363 0.5000  8 Ni 2.77-3.09, 4 Y 2.98-3.07
2 Ni 0.9798 0.9798 0.0000  2 Ni 2.58, 4 Y 2.76
3 Ni 0.7749 0.2749 0.5000  2 Ni 2.58, 4 Mg 2.77
4 Y 0.5090 0.5090 0.0000  8 Ni 2.76-3.03, 4 Mg 2.98-3.07

---

(7)
This record from the Alexandria database describes crystalline BaY4In at its relaxed geometry. The functional is PBE.

Output
Size of the total moment ... 0.00 μB/f.u.
Space-group type ... F-43m, No. 216
Energy of formation from the pure elements ... 0.231 eV/atom
Density of states at the Fermi level ... 0.973 states/eV/atom

abc: 6.6891 6.6891 6.6891
angles: 60.00 60.00 60.00
Last column: nearest neighbours and their distance in Å.
Sites, in units of the cell vectors:
1 Ba 0.2500 0.2500 0.2500  12 Y 3.92, 4 In 4.10
2 In 0.0000 0.0000 0.0000  12 Y 3.92, 4 Ba 4.10
3 Y 0.1219 0.6260 0.6260  6 Y 3.32-3.37
4 Y 0.6260 0.6260 0.6260  6 Y 3.32-3.37
5 Y 0.6260 0.1219 0.6260  6 Y 3.32-3.37
6 Y 0.6260 0.6260 0.1219  6 Y 3.32-3.37

---

(8)
This record from the Alexandria database describes crystalline BaTcHg2 at its relaxed geometry. The functional is PBE.

Output
Size of the total moment ... 3.01 μB/f.u.
Space-group type ... F-43m, No. 216
Energy of formation from the pure elements ... 0.633 eV/atom
Density of states at the Fermi level ... 1.470 states/eV/atom

abc: 5.3700 5.3700 5.3700
angles: 60.00 60.00 60.00
Last column: nearest neighbours and their distance in Å.
Sites, in units of the cell vectors:
1 Ba 0.5000 0.5000 0.5000  4 Tc 3.29, 4 Hg 3.29
2 Hg 0.0000 0.0000 0.0000  4 Hg 3.29, 4 Tc 3.29
3 Hg 0.2500 0.2500 0.2500  4 Ba 3.29, 4 Hg 3.29
4 Tc 0.7500 0.7500 0.7500  4 Ba 3.29, 4 Hg 3.29

---

(9)
This record from the Alexandria database describes crystalline NaCa2Bi2 at its relaxed geometry. The functional is PBE.

Output
Size of the total moment ... 0.00 μB/f.u.
Space-group type ... P4/mbm, No. 127
Energy of formation from the pure elements ... -0.664 eV/atom
Density of states at the Fermi level ... 0.155 states/eV/atom

abc: 9.2957 9.2957 3.8269
angles: 90.00 90.00 90.00
Last column: nearest neighbours and their distance in Å.
Sites, in units of the cell vectors:
1 Na 0.0000 0.0000 0.0000  4 Bi 3.47, 2 Na 3.83
2 Na 0.5000 0.5000 0.0000  4 Bi 3.47, 2 Na 3.83
3 Ca 0.1356 0.6356 0.5000  6 Bi 3.25-3.39, 1 Ca 3.57
4 Ca 0.6356 0.8644 0.5000  6 Bi 3.25-3.39, 1 Ca 3.57
5 Ca 0.8644 0.3644 0.5000  6 Bi 3.25-3.39, 1 Ca 3.57
6 Ca 0.3644 0.1356 0.5000  6 Bi 3.25-3.39, 1 Ca 3.57
7 Bi 0.3356 0.8356 0.0000  6 Ca 3.25-3.39, 2 Na 3.47
8 Bi 0.8356 0.6644 0.0000  6 Ca 3.25-3.39, 2 Na 3.47
9 Bi 0.6644 0.1644 0.0000  6 Ca 3.25-3.39, 2 Na 3.47
10 Bi 0.1644 0.3356 0.0000  6 Ca 3.25-3.39, 2 Na 3.47

---

(10)
This record from the Alexandria database describes crystalline Eu2ZnCl at its relaxed geometry. The functional is PBE.

Output
Size of the total moment ... 15.19 μB/f.u.
Energy ... -6.8270 eV per atom
Space-group type ... R-3m, No. 166
Density of states at the Fermi level ... 3.415 states/eV/atom

abc: 4.1702 4.1702 8.1415
angles: 75.16 75.16 60.00
Last column: nearest neighbours and their distance in Å.
Sites, in units of the cell vectors:
1 Eu 0.7503 0.7503 0.7492  3 Cl 3.09, 3 Zn 3.10
2 Eu 0.2497 0.2497 0.2508  3 Cl 3.09, 3 Zn 3.10
3 Zn 0.0000 0.0000 0.0000  6 Eu 3.10
4 Cl 0.5000 0.5000 0.5000  6 Eu 3.09